No. 1
{"formula": "Li7Zn2Ag", "functional": "PBE-GGA", "state": "optimized geometry", "formation_energy_ev_per_atom": -0.0593, "magnetic_moment_mub_per_atom": 0.000, "total_energy_ev_per_cell": -19.39, "n_ef_per_ev_fu": 4.130, "de_polymorph_mev_per_atom": 0.0, "sg": "P3m1", "lattice": [[4.4206, 0.0000, 0.0000], [-2.2103, 3.8284, 0.0000], [0.0000, 0.0000, 10.2648]], "species": ["Li", "Li", "Li", "Li", "Li", "Li", "Li", "Zn", "Zn", "Ag"], "fractional_positions": [[0.0000, 0.0000, 0.0000], [0.0000, 0.0000, 0.2455], [0.0000, 0.0000, 0.5074], [0.3333, 0.6667, 0.0537], [0.3333, 0.6667, 0.3587], [0.6667, 0.3333, 0.6158], [0.6667, 0.3333, 0.8798], [0.0000, 0.0000, 0.7542], [0.3333, 0.6667, 0.7499], [0.6667, 0.3333, 0.1713]]}

No. 2
{"formula": "KHgS2N", "functional": "PBE-GGA", "state": "optimized geometry", "magnetic_moment_mub_per_atom": 0.496, "total_energy_ev_per_cell": -14.26, "n_ef_per_ev_fu": 4.333, "de_polymorph_mev_per_atom": 0.0, "formation_energy_uncorrected_ev_per_atom": 0.74, "sg": "P4/mmm", "lattice": [[5.2212, 0.0000, 0.0000], [0.0000, 5.2212, 0.0000], [0.0000, 0.0000, 4.4365]], "species": ["K", "Hg", "S", "S", "N"], "fractional_positions": [[0.0000, 0.0000, 0.0000], [0.5000, 0.5000, 0.5000], [0.0000, 0.5000, 0.5000], [0.5000, 0.0000, 0.5000], [0.5000, 0.5000, 0.0000]]}

No. 3
{"formula": "CaMg2Hg", "functional": "PBE-GGA", "state": "optimized geometry", "formation_energy_ev_per_atom": -0.1133, "magnetic_moment_mub_per_atom": 0.000, "total_energy_ev_per_cell": -11.89, "n_ef_per_ev_fu": 2.483, "sg": "C2/m", "lattice": [[6.2599, 0.0000, 0.0000], [0.0000, 11.1862, 0.0000], [-1.5666, 0.0000, 2.9866]], "species": ["Ca", "Ca", "Mg", "Mg", "Mg", "Mg", "Hg", "Hg"], "fractional_positions": [[0.0000, 0.0000, 0.0000], [0.5000, 0.5000, 0.0000], [0.2500, 0.2500, 0.5000], [0.2500, 0.7500, 0.5000], [0.7500, 0.2500, 0.5000], [0.7500, 0.7500, 0.5000], [0.0000, 0.5000, 0.0000], [0.5000, 0.0000, 0.0000]]}

Which formula does entry 2 have? KHgS2N